VInPbF6 | PBE+U | relaxed

```
9
Lattice="4.770 0.000 0.000 -0.005 5.900 0.000 -0.032 -2.925 5.143" Properties=species:S:1:pos:R:3 pbc="T T T"
V 0.000 0.000 0.000
In 3.883 0.021 3.423
Pb 1.971 2.962 1.697
F 1.046 1.799 4.002
F 1.049 -1.334 4.714
F 1.072 -0.416 1.602
F 3.657 4.321 0.589
F 3.640 3.248 3.472
F 3.662 1.300 1.064
```

Properties
As for the final energy: -5.205 eV per atom.